DFT (PBE) results for crystalline HgGeAs2Br at its relaxed geometry.

As for the space-group type: P4/mmm (123). The size of the total moment is 1.0 μB per formula unit. The energy relative to the lowest polymorph listed for this composition is 1.96 eV/f.u. The calculation puts the energy relative to the elements, uncorrected at 904 meV/atom.

abc: 5.1530 5.1530 5.7339
angles: 90.00 90.00 90.00
Last column: nearest neighbours and their distance in Å.
Element x y z (fractional)
Br: 0.0000 0.0000 0.5000  2 Hg 2.87
Ge: 0.5000 0.5000 0.5000  4 Br 3.64, 8 As 3.85
As: 0.0000 0.5000 0.0000  2 Hg 2.58
As: 0.5000 0.0000 0.0000  2 Hg 2.58
Hg: 0.0000 0.0000 0.0000  4 As 2.58, 2 Br 2.87

---

DFT (PBE) results for crystalline HgGeAs2Br at its relaxed geometry.

As for the space-group type: P4/mmm (123). The size of the total moment is 1.3 μB per formula unit. The energy relative to the lowest polymorph listed for this composition is 0.00 eV/f.u. The calculation puts the energy relative to the elements, uncorrected at 513 meV/atom.

abc: 5.0766 5.0766 5.3534
angles: 90.00 90.00 90.00
Last column: nearest neighbours and their distance in Å.
Element x y z (fractional)
As: 0.5000 0.0000 0.0000  2 Ge 2.54
As: 0.0000 0.5000 0.0000  2 Ge 2.54
Br: 0.0000 0.0000 0.5000  2 Ge 2.68
Ge: 0.0000 0.0000 0.0000  4 As 2.54, 2 Br 2.68
Hg: 0.5000 0.5000 0.5000  4 Br 3.59, 8 As 3.69

---

DFT (PBE) results for crystalline GeAs2IBr at its relaxed geometry.

As for the space-group type: P4/mmm (123). The size of the total moment is 0.1 μB per formula unit. The energy relative to the lowest polymorph listed for this composition is 3.01 eV/f.u. The calculation puts the energy relative to the elements, uncorrected at 1134 meV/atom.

abc: 5.4509 5.4509 5.5246
angles: 90.00 90.00 90.00
Last column: nearest neighbours and their distance in Å.
Element x y z (fractional)
Br: 0.0000 0.0000 0.5000  2 I 2.76
As: 0.5000 0.0000 0.0000  2 I 2.73
As: 0.0000 0.5000 0.0000  2 I 2.73
I: 0.0000 0.0000 0.0000  4 As 2.73, 2 Br 2.76
Ge: 0.5000 0.5000 0.5000  4 Br 3.85, 8 As 3.88

---

DFT (PBE) results for crystalline GeAsIBr2 at its relaxed geometry.

As for the space-group type: P4/mmm (123). The size of the total moment is 0.0 μB per formula unit. The energy relative to the lowest polymorph listed for this composition is 0.00 eV/f.u. The calculation puts the energy relative to the elements, uncorrected at 210 meV/atom.

abc: 5.0924 5.6701 5.0924
angles: 90.00 90.00 90.00
Last column: nearest neighbours and their distance in Å.
Element x y z (fractional)
Br: 0.5000 0.0000 0.0000  2 Ge 2.55
Br: 0.0000 0.0000 0.5000  2 Ge 2.55
Ge: 0.0000 0.0000 0.0000  4 Br 2.55, 2 As 2.84
I: 0.5000 0.5000 0.5000  4 As 3.60, 8 Br 3.81
As: 0.0000 0.5000 0.0000  2 Ge 2.84

---

DFT (PBE) results for crystalline GeAs2IBr at its relaxed geometry.

As for the space-group type: P4/mmm (123). The size of the total moment is 0.3 μB per formula unit. The energy relative to the lowest polymorph listed for this composition is 0.00 eV/f.u. The calculation puts the energy relative to the elements, uncorrected at 532 meV/atom.

abc: 5.1798 5.1798 5.1239
angles: 90.00 90.00 90.00
Last column: nearest neighbours and their distance in Å.
Element x y z (fractional)
As: 0.0000 0.5000 0.0000  2 Ge 2.59
As: 0.5000 0.0000 0.0000  2 Ge 2.59
I: 0.5000 0.5000 0.5000  8 As 3.64, 4 Br 3.66
Ge: 0.0000 0.0000 0.0000  2 Br 2.56, 4 As 2.59
Br: 0.0000 0.0000 0.5000  2 Ge 2.56

---

DFT (PBE) results for crystalline GeAsIBr2 at its relaxed geometry.

As for the space-group type: P4/mmm (123). The size of the total moment is 0.0 μB per formula unit. The energy relative to the lowest polymorph listed for this composition is 3.15 eV/f.u. The calculation puts the energy relative to the elements, uncorrected at 840 meV/atom.

abc: 5.6098 5.6098 5.6646
angles: 90.00 90.00 90.00
Last column: nearest neighbours and their distance in Å.
Element x y z (fractional)
Br: 0.0000 0.5000 0.0000  2 I 2.80
Br: 0.5000 0.0000 0.0000  2 I 2.80
As: 0.0000 0.0000 0.5000  2 I 2.83
Ge: 0.5000 0.5000 0.5000  4 As 3.97, 8 Br 3.99
I: 0.0000 0.0000 0.0000  4 Br 2.80, 2 As 2.83

---

What is the formula in the fifth record?
GeAs2IBr

---

What did the first record say?
DFT (PBE) results for crystalline HgGeAs2Br at its relaxed geometry.

As for the space-group type: P4/mmm (123). The size of the total moment is 1.0 μB per formula unit. The energy relative to the lowest polymorph listed for this composition is 1.96 eV/f.u. The calculation puts the energy relative to the elements, uncorrected at 904 meV/atom.

abc: 5.1530 5.1530 5.7339
angles: 90.00 90.00 90.00
Last column: nearest neighbours and their distance in Å.
Element x y z (fractional)
Br: 0.0000 0.0000 0.5000  2 Hg 2.87
Ge: 0.5000 0.5000 0.5000  4 Br 3.64, 8 As 3.85
As: 0.0000 0.5000 0.0000  2 Hg 2.58
As: 0.5000 0.0000 0.0000  2 Hg 2.58
Hg: 0.0000 0.0000 0.0000  4 As 2.58, 2 Br 2.87

---

Copy entry 5 word for word.
DFT (PBE) results for crystalline GeAs2IBr at its relaxed geometry.

As for the space-group type: P4/mmm (123). The size of the total moment is 0.3 μB per formula unit. The energy relative to the lowest polymorph listed for this composition is 0.00 eV/f.u. The calculation puts the energy relative to the elements, uncorrected at 532 meV/atom.

abc: 5.1798 5.1798 5.1239
angles: 90.00 90.00 90.00
Last column: nearest neighbours and their distance in Å.
Element x y z (fractional)
As: 0.0000 0.5000 0.0000  2 Ge 2.59
As: 0.5000 0.0000 0.0000  2 Ge 2.59
I: 0.5000 0.5000 0.5000  8 As 3.64, 4 Br 3.66
Ge: 0.0000 0.0000 0.0000  2 Br 2.56, 4 As 2.59
Br: 0.0000 0.0000 0.5000  2 Ge 2.56